Record 1
# LaZrAs2Se

A geometry-optimized LaZrAs2Se structure (PBE-GGA, Alexandria).

abc: 5.1422 5.1422 5.2102
angles: 90.00 90.00 90.00
Last column: nearest neighbours and their distance in Å.
Space group P4/mmm (No. 123)
Asymmetric unit:
La1 0.0000 0.0000 0.0000  4 Se 3.64, 8 As 3.66
Zr1 0.5000 0.5000 0.5000  4 As 2.57, 2 Se 2.61
As1 0.0000 0.5000 0.5000  2 Zr 2.57
Se1 0.5000 0.5000 0.0000  2 Zr 2.61

Results
Formation energy without anion corrections   -0.84 eV/atom
Electronic total energy   -6.088 eV per atom
DOS(E_F)   2.43 states/eV per cell

Record 2
# LaSiAs2

A geometry-optimized LaSiAs2 structure (PBE-GGA, Alexandria).

abc: 4.5805 4.5805 4.1243
angles: 90.00 90.00 90.00
Last column: nearest neighbours and their distance in Å.
Space group P4/mmm (No. 123)
Asymmetric unit:
La1 0.0000 0.0000 0.0000  8 As 3.08, 4 Si 3.24
Si1 0.5000 0.5000 0.0000  8 As 3.08, 4 La 3.24
As1 0.0000 0.5000 0.5000  4 Si 3.08, 4 La 3.08, 4 As 3.24

Results
Formation energy without anion corrections   -0.47 eV/atom
Electronic total energy   -5.386 eV per atom
DOS(E_F)   2.34 states/eV per cell

Record 3
# LaSiAs2

A geometry-optimized LaSiAs2 structure (PBE-GGA, Alexandria).

abc: 3.6405 5.4316 8.9194
angles: 90.00 90.00 90.00
Last column: nearest neighbours and their distance in Å.
Space group Immm (No. 71)
Asymmetric unit:
La1 0.0000 0.0000 0.0000  8 As 3.23-3.26, 4 Si 3.27
Si1 0.0000 0.0000 0.5000  4 As 2.53
As1 0.0000 0.5000 0.1962  2 Si 2.53

Results
Formation energy without anion corrections   -0.46 eV/atom
Electronic total energy   -5.370 eV per atom
DOS(E_F)   5.61 states/eV per cell